The following is a DFT calculation (PBE with a Hubbard U) of a relaxed structure of LiMn2OF3.

Lattice parameters (Å, degrees): 6.1655 6.1655 6.4665 119.81 119.81 62.75
Closest atoms and distances in Å follow each position.
Atoms (fractional coordinates):
1 Li 0.0000 0.0000 0.0000  2 O 2.03, 4 F 2.27
2 Li 0.0000 0.0000 0.5000  6 F 2.06-2.13
3 Mn 0.0000 0.5000 0.0000  2 O 2.05, 4 F 2.25-2.29
4 Mn 0.3524 0.3524 0.5569  1 O 1.98, 3 F 2.09-2.10
5 Mn 0.5000 0.0000 0.0000  2 O 2.05, 4 F 2.25-2.29
6 Mn 0.6476 0.6476 0.4431  1 O 1.98, 3 F 2.09-2.10
7 O 0.2351 0.2351 0.1817  3 Mn 1.98-2.05, 1 Li 2.03
8 O 0.7649 0.7649 0.8183  3 Mn 1.98-2.05, 1 Li 2.03
9 F 0.2191 0.7569 0.7242  2 Mn 2.09-2.25, 2 Li 2.13-2.27
10 F 0.2400 0.2400 0.7385  1 Li 2.06, 3 Mn 2.10-2.29
11 F 0.2431 0.7809 0.2758  2 Mn 2.09-2.25, 2 Li 2.13-2.27
12 F 0.7569 0.2191 0.7242  2 Mn 2.09-2.25, 2 Li 2.13-2.27
13 F 0.7600 0.7600 0.2615  1 Li 2.06, 3 Mn 2.10-2.29
14 F 0.7809 0.2431 0.2758  2 Mn 2.09-2.25, 2 Li 2.13-2.27

Calculated values
Space group   C2/m
Calculated total energy   -88.114 eV/cell